# 1
Density functional theory data (GGA-PBE) for a relaxed structure of Sr2MgIr.

a b c (Å): 5.239 5.239 5.239
angles (deg): 60.00 60.00 60.00
Element x y z (fractional)
Sr1 0.000 0.000 0.000
Sr2 0.250 0.250 0.250
Mg1 0.500 0.500 0.500
Ir1 0.750 0.750 0.750

SG: F-43m (216)

***

# 2
Density functional theory data (GGA-PBE) for a relaxed structure of SrMg3Ir.

a b c (Å): 6.960 6.960 5.276
angles (deg): 90.00 90.00 90.00
Element x y z (fractional)
Sr1 0.250 0.750 0.000
Sr2 0.750 0.250 0.000
Mg1 0.000 0.000 0.500
Mg2 0.000 0.500 0.500
Mg3 0.250 0.250 0.137
Mg4 0.500 0.000 0.500
Mg5 0.500 0.500 0.500
Mg6 0.750 0.750 0.863
Ir1 0.250 0.250 0.645
Ir2 0.750 0.750 0.355

SG: P4/nmm (129)

***

# 3
Density functional theory data (GGA-PBE) for a relaxed structure of TbMgIr.

a b c (Å): 7.084 4.105 8.531
angles (deg): 90.00 90.00 90.00
Element x y z (fractional)
Tb1 0.040 0.250 0.175
Tb2 0.460 0.750 0.675
Tb3 0.540 0.250 0.325
Tb4 0.960 0.750 0.825
Mg1 0.135 0.250 0.559
Mg2 0.365 0.750 0.059
Mg3 0.635 0.250 0.941
Mg4 0.865 0.750 0.441
Ir1 0.249 0.750 0.370
Ir2 0.251 0.250 0.870
Ir3 0.749 0.750 0.130
Ir4 0.751 0.250 0.630

SG: Pnma (62)

***

# 4
Density functional theory data (GGA-PBE) for a relaxed structure of Tb3Mg3TlIr2.

a b c (Å): 7.393 7.393 4.231
angles (deg): 90.00 90.00 120.00
Element x y z (fractional)
Tb1 0.000 0.573 0.000
Tb2 0.427 0.427 0.000
Tb3 0.573 0.000 0.000
Mg1 0.000 0.260 0.500
Mg2 0.260 0.000 0.500
Mg3 0.740 0.740 0.500
Tl1 0.000 0.000 0.000
Ir1 0.333 0.667 0.500
Ir2 0.667 0.333 0.500

SG: P-62m (189)

***

# 5
Density functional theory data (GGA-PBE) for a relaxed structure of Tb2TmMg3Ir3.

a b c (Å): 4.047 7.247 7.247
angles (deg): 119.89 90.00 90.00
Element x y z (fractional)
Tb1 0.000 0.205 0.795
Tb2 0.000 0.795 0.205
Tm1 0.000 0.612 0.612
Mg1 0.500 0.206 0.450
Mg2 0.500 0.450 0.206
Mg3 0.500 0.959 0.959
Ir1 0.000 0.208 0.208
Ir2 0.500 0.540 0.869
Ir3 0.500 0.869 0.540

SG: Amm2 (38)

***

# 6
Density functional theory data (GGA-PBE) for a relaxed structure of Tb2YMg3Ir3.

a b c (Å): 4.061 7.276 7.276
angles (deg): 120.06 90.00 90.00
Element x y z (fractional)
Tb1 0.000 0.205 0.795
Tb2 0.000 0.795 0.205
Y1 0.000 0.614 0.614
Mg1 0.500 0.205 0.449
Mg2 0.500 0.449 0.205
Mg3 0.500 0.960 0.960
Ir1 0.000 0.204 0.204
Ir2 0.500 0.538 0.872
Ir3 0.500 0.872 0.538

SG: Amm2 (38)

***

# 7
Density functional theory data (GGA-PBE) for a relaxed structure of Mg2TcIr.

a b c (Å): 4.446 4.446 4.446
angles (deg): 60.00 60.00 60.00
Element x y z (fractional)
Mg1 0.000 0.000 0.000
Mg2 0.250 0.250 0.250
Tc1 0.500 0.500 0.500
Ir1 0.750 0.750 0.750

SG: F-43m (216)

***

# 8
Density functional theory data (GGA-PBE) for a relaxed structure of Th3MgIr8.

a b c (Å): 9.377 9.377 9.377
angles (deg): 33.55 33.55 33.55
Element x y z (fractional)
Th1 0.000 0.000 0.000
Th2 0.128 0.128 0.128
Th3 0.511 0.511 0.511
Mg1 0.634 0.634 0.634
Ir1 0.065 0.567 0.567
Ir2 0.068 0.068 0.565
Ir3 0.068 0.565 0.068
Ir4 0.316 0.316 0.316
Ir5 0.565 0.068 0.068
Ir6 0.567 0.065 0.567
Ir7 0.567 0.567 0.065
Ir8 0.817 0.817 0.817

SG: R3m (160)

***

# 9
Density functional theory data (GGA-PBE) for a relaxed structure of ThMgIr.

a b c (Å): 4.750 4.750 4.750
angles (deg): 60.00 60.00 60.00
Element x y z (fractional)
Th1 0.000 0.000 0.000
Mg1 0.500 0.500 0.500
Ir1 0.250 0.250 0.250

SG: F-43m (216)

***

# 10
Density functional theory data (GGA-PBE) for a relaxed structure of Tm3Mg3Tl2Ir.

a b c (Å): 7.415 7.415 4.426
angles (deg): 90.00 90.00 120.00
Element x y z (fractional)
Tm1 0.000 0.388 0.000
Tm2 0.388 0.000 0.000
Tm3 0.612 0.612 0.000
Mg1 0.000 0.769 0.500
Mg2 0.231 0.231 0.500
Mg3 0.769 0.000 0.500
Tl1 0.333 0.667 0.500
Tl2 0.667 0.333 0.500
Ir1 0.000 0.000 0.000

SG: P-62m (189)

***

# 11
Density functional theory data (GGA-PBE) for a relaxed structure of Tm3Mg3TlIr2.

a b c (Å): 7.335 7.335 4.176
angles (deg): 90.00 90.00 120.00
Element x y z (fractional)
Tm1 0.000 0.426 0.000
Tm2 0.426 0.000 0.000
Tm3 0.574 0.574 0.000
Mg1 0.000 0.737 0.500
Mg2 0.263 0.263 0.500
Mg3 0.737 0.000 0.500
Tl1 0.000 0.000 0.000
Ir1 0.333 0.667 0.500
Ir2 0.667 0.333 0.500

SG: P-62m (189)

***

# 12
Density functional theory data (GGA-PBE) for a relaxed structure of MgZrTlIr.

a b c (Å): 4.723 4.723 4.723
angles (deg): 60.00 60.00 60.00
Element x y z (fractional)
Mg1 0.000 0.000 0.000
Zr1 0.750 0.750 0.750
Tl1 0.250 0.250 0.250
Ir1 0.500 0.500 0.500

Energy relative to the lowest polymorph listed for this composition in eV per atom: 0.004
SG: F-43m (216)

***

| no. | calculated density (g/cm3) | DFT total energy (eV/atom) |
| --- | --- | --- |
| 1 | 6.4 | -3.303 |
| 2 | 4.6 | -3.265 |
| 3 | 10.1 | -5.693 |
| 4 | 9.4 | -4.775 |
| 5 | 10.2 | -5.681 |
| 6 | 9.4 | -5.890 |
| 7 | 9.1 | -5.593 |
| 8 | 16.7 | -8.603 |
| 9 | 9.8 | -6.465 |
| 10 | 9.3 | -3.914 |
| 11 | 10.0 | -4.727 |
| 12 | 11.4 | -5.576 |